Compound: AlReW2O
Source: Alexandria via LeMat-Bulk
Functional: PBE+U
Structure: optimized geometry

For the energy, the calculation gives -26.34 eV per formula unit.

a b c (Å): 4.910 4.910 4.774
angles (deg): 90.00 90.00 90.00
Atoms (fractional coordinates):
Al 0.000 0.000 0.000
Re 0.000 0.000 0.500
W 0.000 0.500 0.500
W 0.500 0.000 0.500
O 0.500 0.500 0.000